The following is a PBE calculation of an optimized crystal structure of Pm2TmGe3Rh4, from the Alexandria database.

Summary:
Formation energy: -0.8984 eV/atom
Space group: P-4m2, No. 115

a = 4.171 Å, b = 4.171 Å, c = 11.154 Å
α = 90.00°, β = 90.00°, γ = 90.00°
Element x y z (fractional)
Pm: 0.500 0.000 0.230
Pm: 0.000 0.500 0.770
Ge: 0.500 0.000 0.877
Ge: 0.000 0.500 0.123
Ge: 0.000 0.000 0.500
Rh: 0.500 0.500 0.000
Rh: 0.000 0.000 0.000
Rh: 0.000 0.500 0.344
Rh: 0.500 0.000 0.656
Tm: 0.500 0.500 0.500

=====

The following is a PBE calculation of an optimized crystal structure of PmTmGeRh, from the Alexandria database.

Summary:
Formation energy: -0.8363 eV/atom
Space group: Amm2, No. 38
Energy relative to the lowest polymorph listed for this composition: 0 meV per atom

a = 4.123 Å, b = 4.165 Å, c = 5.678 Å
α = 90.00°, β = 111.29°, γ = 90.00°
Element x y z (fractional)
Pm: 0.145 0.000 0.291
Rh: 0.419 0.000 0.837
Ge: 0.572 0.500 0.143
Tm: 0.864 0.500 0.729

=====

The following is a PBE calculation of an optimized crystal structure of PmUGe2Rh5, from the Alexandria database.

Summary:
Formation energy: -0.5542 eV/atom
Space group: P4/mmm, No. 123

a = 4.214 Å, b = 4.214 Å, c = 8.940 Å
α = 90.00°, β = 90.00°, γ = 90.00°
Element x y z (fractional)
Rh: 0.000 0.500 0.264
Rh: 0.500 0.000 0.736
Rh: 0.500 0.500 0.500
Rh: 0.000 0.500 0.736
Rh: 0.500 0.000 0.264
U: 0.000 0.000 0.000
Pm: 0.000 0.000 0.500
Ge: 0.500 0.500 0.862
Ge: 0.500 0.500 0.138

=====

The following is a PBE calculation of an optimized crystal structure of Pm2UGeRh6, from the Alexandria database.

Summary:
Formation energy: -0.5847 eV/atom
Space group: P-1, No. 2

a = 6.984 Å, b = 7.543 Å, c = 5.519 Å
α = 58.57°, β = 60.02°, γ = 92.64°
Element x y z (fractional)
U: 0.000 0.000 0.000
Pm: 0.334 0.692 0.442
Pm: 0.666 0.308 0.558
Rh: 0.869 0.765 0.868
Rh: 0.655 0.917 0.547
Rh: 0.131 0.235 0.132
Rh: 0.345 0.083 0.453
Rh: 0.162 0.642 0.101
Rh: 0.838 0.358 0.899
Ge: 0.500 0.500 0.000

=====

The following is a PBE calculation of an optimized crystal structure of Pm2VGe4Rh3, from the Alexandria database.

Summary:
Formation energy: -0.7251 eV/atom
Space group: P-4m2, No. 115

a = 4.259 Å, b = 4.259 Å, c = 10.267 Å
α = 90.00°, β = 90.00°, γ = 90.00°
Element x y z (fractional)
Rh: 0.000 0.000 0.500
Rh: 0.000 0.500 0.123
Rh: 0.500 0.000 0.877
Pm: 0.500 0.000 0.245
Pm: 0.000 0.500 0.755
Ge: 0.000 0.000 0.000
Ge: 0.500 0.500 0.000
Ge: 0.000 0.500 0.365
Ge: 0.500 0.000 0.635
V: 0.500 0.500 0.500

=====

The following is a PBE calculation of an optimized crystal structure of PmYGeRh, from the Alexandria database.

Summary:
Formation energy: -0.8299 eV/atom
Space group: Amm2, No. 38
Energy relative to the lowest polymorph listed for this composition: 0 meV per atom

a = 4.161 Å, b = 4.213 Å, c = 5.692 Å
α = 90.00°, β = 111.44°, γ = 90.00°
Element x y z (fractional)
Ge: 0.572 0.500 0.144
Rh: 0.421 0.000 0.842
Y: 0.863 0.500 0.727
Pm: 0.144 0.000 0.288

=====

The following is a PBE calculation of an optimized crystal structure of Pm2YGe3Rh4, from the Alexandria database.

Summary:
Formation energy: -0.8747 eV/atom
Space group: P-4m2, No. 115

a = 4.178 Å, b = 4.178 Å, c = 11.244 Å
α = 90.00°, β = 90.00°, γ = 90.00°
Element x y z (fractional)
Rh: 0.000 0.000 0.000
Rh: 0.000 0.500 0.340
Rh: 0.500 0.500 0.000
Rh: 0.500 0.000 0.660
Pm: 0.500 0.000 0.228
Pm: 0.000 0.500 0.772
Ge: 0.000 0.500 0.121
Ge: 0.000 0.000 0.500
Ge: 0.500 0.000 0.879
Y: 0.500 0.500 0.500

=====

The following is a PBE calculation of an optimized crystal structure of PmYGeRh, from the Alexandria database.

Summary:
Formation energy: -0.6819 eV/atom
Space group: F-43m, No. 216
Energy relative to the lowest polymorph listed for this composition: 148 meV per atom

a = 5.026 Å, b = 5.026 Å, c = 5.026 Å
α = 60.00°, β = 60.00°, γ = 60.00°
Element x y z (fractional)
Rh: 0.750 0.750 0.750
Pm: 0.000 0.000 0.000
Ge: 0.250 0.250 0.250
Y: 0.500 0.500 0.500

=====

The lowest formation energy belongs to which entry?
Pm2TmGe3Rh4

=====

Look up the formation energy of the sixth one.
-0.8299 eV/atom

=====

What is the formula in the eighth record?
PmYGeRh